## LiPrNiBi (PBE)

Data for a relaxed structure of LiPrNiBi.

Output
Formation energy from the elements in eV/atom: -0.361

Unit cell a=4.8688 b=4.8688 c=4.8688 alpha=60.00 beta=60.00 gamma=60.00
Positions (direct):
1 Li 0.0000 0.0000 0.0000
2 Pr 0.7500 0.7500 0.7500
3 Ni 0.5000 0.5000 0.5000
4 Bi 0.2500 0.2500 0.2500

***

## TlTeOsBr2 (PBE)

Data for a relaxed structure of TlTeOsBr2.

Output
Energy relative to the elements, uncorrected in eV/f.u.: 3.28

Unit cell a=5.9932 b=5.9932 c=4.9333 alpha=90.00 beta=90.00 gamma=90.00
Positions (direct):
1 Tl 0.0000 0.0000 0.0000
2 Te 0.5000 0.5000 0.5000
3 Os 0.5000 0.5000 0.0000
4 Br 0.0000 0.5000 0.5000
5 Br 0.5000 0.0000 0.5000